(1)
# ErZnGaO4

An optimized crystal structure of ErZnGaO4 (PBE, Alexandria).

Values from the calculation:
SG   No. 74
Calculated density   6.93 Mg/m³
Raw formation energy   -2.251 eV per atom

abc: 6.167 6.270 6.270
angles: 62.31 60.54 60.54
Sites, in units of the cell vectors:
Er (0.000, 0.000, 0.000)
Er (0.000, 0.500, 0.500)
Zn (0.617, 0.633, 0.133)
Zn (0.383, 0.367, 0.867)
Ga (0.500, 0.000, 0.500)
Ga (0.000, 0.000, 0.500)
O (0.746, 0.786, 0.722)
O (0.254, 0.778, 0.714)
O (0.746, 0.222, 0.286)
O (0.254, 0.214, 0.278)
O (0.224, 0.768, 0.268)
O (0.741, 0.768, 0.268)
O (0.259, 0.232, 0.732)
O (0.776, 0.232, 0.732)

=====

(2)
# Er2GaOs

An optimized crystal structure of Er2GaOs (PBE, Alexandria).

Values from the calculation:
SG   No. 123
Calculated density   11.86 Mg/m³
DFT formation energy   -0.4509 eV/atom

abc: 3.452 3.452 6.983
angles: 90.00 90.00 90.00
Sites, in units of the cell vectors:
Os (0.500, 0.500, 0.000)
Ga (0.500, 0.500, 0.500)
Er (0.000, 0.000, 0.766)
Er (0.000, 0.000, 0.234)

=====

(3)
# Er3GaOs

An optimized crystal structure of Er3GaOs (PBE, Alexandria).

Values from the calculation:
SG   No. 69
Calculated density   10.79 Mg/m³
DFT formation energy   -0.4209 eV/atom

abc: 5.657 5.657 8.503
angles: 102.08 102.08 111.72
Sites, in units of the cell vectors:
Er (0.304, 0.804, 0.108)
Er (0.696, 0.196, 0.892)
Er (0.077, 0.209, 0.287)
Er (0.923, 0.791, 0.713)
Er (0.709, 0.577, 0.287)
Er (0.291, 0.423, 0.713)
Ga (0.696, 0.196, 0.500)
Ga (0.304, 0.804, 0.500)
Os (0.250, 0.250, 0.000)
Os (0.750, 0.750, 0.000)

=====

(4)
# ErGa2Os

An optimized crystal structure of ErGa2Os (PBE, Alexandria).

Values from the calculation:
SG   No. 225
Calculated density   12.20 Mg/m³
DFT formation energy   -0.3115 eV/atom

abc: 4.573 4.573 4.573
angles: 60.00 60.00 60.00
Sites, in units of the cell vectors:
Os (0.500, 0.500, 0.500)
Ga (0.250, 0.250, 0.250)
Ga (0.750, 0.750, 0.750)
Er (0.000, 0.000, 0.000)

=====

(5)
# Er6Ga2Os

An optimized crystal structure of Er6Ga2Os (PBE, Alexandria).

Values from the calculation:
SG   No. 71
Calculated density   9.02 Mg/m³
DFT formation energy   -0.2694 eV/atom

abc: 4.897 6.942 8.377
angles: 114.48 106.99 90.00
Sites, in units of the cell vectors:
Er (0.159, 0.404, 0.318)
Er (0.841, 0.085, 0.682)
Er (0.841, 0.596, 0.682)
Er (0.500, 0.235, 0.000)
Er (0.159, 0.915, 0.318)
Er (0.500, 0.765, 0.000)
Ga (0.667, 0.668, 0.335)
Ga (0.333, 0.332, 0.665)
Os (0.000, 0.000, 0.000)

=====

(6)
# Er6Ga2Os

An optimized crystal structure of Er6Ga2Os (PBE, Alexandria).

Values from the calculation:
SG   No. 71
Calculated density   10.00 Mg/m³
DFT formation energy   -0.3584 eV/atom

abc: 8.318 8.318 8.318
angles: 110.27 110.15 108.00
Sites, in units of the cell vectors:
Er (0.577, 0.750, 0.827)
Er (0.423, 0.250, 0.173)
Er (0.077, 0.250, 0.827)
Er (0.923, 0.750, 0.173)
Er (0.814, 0.734, 0.548)
Er (0.186, 0.266, 0.452)
Er (0.186, 0.734, 0.921)
Er (0.814, 0.266, 0.079)
Er (0.722, 0.393, 0.671)
Er (0.278, 0.607, 0.329)
Er (0.278, 0.949, 0.671)
Er (0.722, 0.051, 0.329)
Ga (0.500, 0.369, 0.869)
Ga (0.500, 0.631, 0.131)
Ga (0.641, 0.000, 0.641)
Ga (0.359, 0.000, 0.359)
Os (0.000, 0.500, 0.500)
Os (0.000, 0.000, 0.000)

=====

Question: Look up the calculated density of the second one.
Answer: 11.86 Mg/m³

=====

Question: Which of these has the lowest calculated density?
Answer: ErZnGaO4

=====

Question: calculated density of number 6 (Er6Ga2Os)?
Answer: 10.00 Mg/m³